Version A
MnZnPdAu: relaxed, GGA-PBE.

Computed properties:
symmetry: F-43m (216)

a b c (Å): 4.437 4.437 4.437
angles (deg): 60.00 60.00 60.00
Sites, in units of the cell vectors:
Mn: 0.000 0.000 0.000
Zn: 0.500 0.500 0.500
Pd: 0.250 0.250 0.250
Au: 0.750 0.750 0.750

=====

Version B
MnZnPdAu: relaxed, GGA-PBE.

Computed properties:
symmetry: I-4m2 (119)

a b c (Å): 4.764 4.764 4.764
angles (deg): 130.25 130.25 73.00
Sites, in units of the cell vectors:
Mn: 0.000 0.000 0.000
Zn: 0.500 0.500 0.000
Pd: 0.250 0.750 0.500
Au: 0.750 0.250 0.500

=====

It turns out version B is the most stable, with the second structure 9 meV/atom higher.

=====

Version A
MnPtAu: relaxed, GGA-PBE.

Computed properties:
symmetry: I4mm (107)

a b c (Å): 5.883 5.883 5.883
angles (deg): 150.79 150.79 41.79
Sites, in units of the cell vectors:
Mn: 0.000 0.000 0.000
Pt: 0.647 0.647 0.000
Au: 0.333 0.333 0.000

=====

Version B
MnPtAu: relaxed, GGA-PBE.

Computed properties:
symmetry: F-43m (216)

a b c (Å): 4.374 4.374 4.374
angles (deg): 60.00 60.00 60.00
Sites, in units of the cell vectors:
Mn: 0.000 0.000 0.000
Pt: 0.250 0.250 0.250
Au: 0.500 0.500 0.500

=====

Version C
MnPtAu: relaxed, GGA-PBE.

Computed properties:
symmetry: Imm2 (44)

a b c (Å): 5.020 5.020 5.020
angles (deg): 146.13 136.56 56.20
Sites, in units of the cell vectors:
Mn: 0.000 0.000 0.000
Pt: 0.648 0.648 0.000
Au: 0.330 0.330 0.000

=====

Version D
MnPtAu: relaxed, GGA-PBE.

Computed properties:
symmetry: I-4m2 (119)

a b c (Å): 4.221 4.221 4.221
angles (deg): 117.98 117.98 93.54
Sites, in units of the cell vectors:
Mn: 0.000 0.000 0.000
Pt: 0.250 0.750 0.500
Au: 0.750 0.250 0.500

=====

It turns out version C is the most stable, with the second structure 7 meV/atom higher.

=====

Version A
MnPtAu: relaxed, GGA-PBE.

Computed properties:
symmetry: Cm (8)

a b c (Å): 4.824 4.824 5.614
angles (deg): 103.45 103.45 49.86
Sites, in units of the cell vectors:
Mn: 0.000 0.000 0.000
Mn: 0.681 0.681 0.351
Pt: 0.340 0.340 0.178
Pt: 0.672 0.672 0.870
Au: 0.012 0.012 0.497
Au: 0.341 0.341 0.681

=====

Version B
MnPtAu: relaxed, GGA-PBE.

Computed properties:
symmetry: Cmcm (63)

a b c (Å): 7.230 7.230 4.623
angles (deg): 90.00 90.00 156.37
Sites, in units of the cell vectors:
Mn: 0.112 0.888 0.750
Mn: 0.888 0.112 0.250
Pt: 0.234 0.766 0.250
Pt: 0.766 0.234 0.750
Au: 0.442 0.558 0.750
Au: 0.558 0.442 0.250

=====

Version C
MnPtAu: relaxed, GGA-PBE.

Computed properties:
symmetry: P3m1 (156)

a b c (Å): 4.443 4.443 2.852
angles (deg): 90.00 90.00 120.00
Sites, in units of the cell vectors:
Mn: 0.000 0.000 0.000
Pt: 0.333 0.667 0.259
Au: 0.667 0.333 0.683

=====

It turns out version A is the most stable, with the second structure 37 meV/atom higher.

=====

Version A
MnPt2Au2: relaxed, GGA-PBE.

Computed properties:
symmetry: P4/mbm (127)

a b c (Å): 6.715 6.715 3.956
angles (deg): 90.00 90.00 90.00
Sites, in units of the cell vectors:
Mn: 0.000 0.000 0.000
Mn: 0.500 0.500 0.000
Pt: 0.141 0.359 0.000
Pt: 0.359 0.859 0.000
Pt: 0.641 0.141 0.000
Pt: 0.859 0.641 0.000
Au: 0.163 0.663 0.500
Au: 0.337 0.163 0.500
Au: 0.663 0.837 0.500
Au: 0.837 0.337 0.500

=====

Version B
MnPt2Au2: relaxed, GGA-PBE.

Computed properties:
symmetry: I4/mmm (139)

a b c (Å): 7.177 7.177 7.177
angles (deg): 149.51 149.51 43.67
Sites, in units of the cell vectors:
Mn: 0.000 0.000 0.000
Pt: 0.405 0.405 0.000
Pt: 0.595 0.595 0.000
Au: 0.250 0.750 0.500
Au: 0.750 0.250 0.500

=====

It turns out version A is the most stable, with the second structure 189 meV/atom higher.

=====

Version A
Mn2Pt2Au: relaxed, GGA-PBE.

Computed properties:
symmetry: P4/mbm (127)

a b c (Å): 7.502 7.502 2.892
angles (deg): 90.00 90.00 90.00
Sites, in units of the cell vectors:
Mn: 0.162 0.338 0.000
Mn: 0.338 0.838 0.000
Mn: 0.662 0.162 0.000
Mn: 0.838 0.662 0.000
Pt: 0.135 0.635 0.500
Pt: 0.365 0.135 0.500
Pt: 0.635 0.865 0.500
Pt: 0.865 0.365 0.500
Au: 0.000 0.000 0.500
Au: 0.500 0.500 0.500

=====

Version B
Mn2Pt2Au: relaxed, GGA-PBE.

Computed properties:
symmetry: C2/m (12)

a b c (Å): 4.829 4.829 6.140
angles (deg): 128.29 128.29 48.10
Sites, in units of the cell vectors:
Mn: 0.084 0.084 0.286
Mn: 0.916 0.916 0.714
Pt: 0.300 0.300 0.882
Pt: 0.700 0.700 0.118
Au: 0.500 0.500 0.500

=====

It turns out version B is the most stable, with the second structure 23 meV/atom higher.

=====

Version A
RbMnRu2Au: relaxed, GGA-PBE.

Computed properties:
symmetry: P4/mmm (123)

a b c (Å): 4.477 4.477 5.743
angles (deg): 90.00 90.00 90.00
Sites, in units of the cell vectors:
Rb: 0.000 0.000 0.000
Mn: 0.000 0.000 0.500
Ru: 0.000 0.500 0.500
Ru: 0.500 0.000 0.500
Au: 0.500 0.500 0.000

=====

Version B
RbMnRu2Au: relaxed, GGA-PBE.

Computed properties:
symmetry: P4/mmm (123)

a b c (Å): 4.728 4.728 4.806
angles (deg): 90.00 90.00 90.00
Sites, in units of the cell vectors:
Rb: 0.000 0.000 0.000
Mn: 0.000 0.000 0.500
Ru: 0.000 0.500 0.000
Ru: 0.500 0.000 0.000
Au: 0.500 0.500 0.500

=====

It turns out version A is the most stable, with the second structure 1166 meV/atom higher.

=====

Version A
RbMnAuS2: relaxed, GGA-PBE.

Computed properties:
symmetry: P4/mmm (123)

a b c (Å): 4.361 4.361 7.396
angles (deg): 90.00 90.00 90.00
Sites, in units of the cell vectors:
Rb: 0.000 0.000 0.000
Mn: 0.000 0.000 0.500
Au: 0.500 0.500 0.000
S: 0.000 0.500 0.500
S: 0.500 0.000 0.500

=====

Version B
RbMnAuS2: relaxed, GGA-PBE.

Computed properties:
symmetry: P2/c (13)

a b c (Å): 7.380 5.826 6.470
angles (deg): 90.00 109.59 90.00
Sites, in units of the cell vectors:
Rb: 0.000 0.222 0.250
Rb: 0.000 0.778 0.750
Mn: 0.500 0.494 0.750
Mn: 0.500 0.506 0.250
Au: 0.500 0.000 0.000
Au: 0.500 0.000 0.500
S: 0.285 0.309 0.920
S: 0.285 0.691 0.420
S: 0.715 0.309 0.580
S: 0.715 0.691 0.080

=====

It turns out version B is the most stable, with the second structure 844 meV/atom higher.

=====

Version A
MnReAu2: relaxed, GGA-PBE.

Computed properties:
symmetry: Cm (8)

a b c (Å): 4.842 4.842 5.009
angles (deg): 99.28 99.28 33.65
Sites, in units of the cell vectors:
Mn: 0.000 0.000 0.000
Re: 0.262 0.262 0.781
Au: 0.510 0.510 0.526
Au: 0.750 0.750 0.262

=====

Version B
MnReAu2: relaxed, GGA-PBE.

Computed properties:
symmetry: I-4m2 (119)

a b c (Å): 4.832 4.832 4.832
angles (deg): 130.44 130.44 72.70
Sites, in units of the cell vectors:
Mn: 0.000 0.000 0.000
Re: 0.250 0.750 0.500
Au: 0.500 0.500 0.000
Au: 0.750 0.250 0.500

=====

It turns out version A is the most stable, with the second structure 63 meV/atom higher.

=====

Version A
MnReAu2: relaxed, GGA-PBE.

Computed properties:
symmetry: P2/m (10)

a b c (Å): 4.988 2.755 4.989
angles (deg): 90.00 109.63 90.00
Sites, in units of the cell vectors:
Mn: 0.000 0.000 0.000
Re: 0.000 0.500 0.500
Au: 0.500 0.000 0.500
Au: 0.500 0.500 0.000

=====

Version B
MnReAu2: relaxed, GGA-PBE.

Computed properties:
symmetry: P4/mmm (123)

a b c (Å): 4.038 4.038 3.973
angles (deg): 90.00 90.00 90.00
Sites, in units of the cell vectors:
Mn: 0.000 0.000 0.000
Re: 0.500 0.500 0.000
Au: 0.000 0.500 0.500
Au: 0.500 0.000 0.500

=====

Version C
MnReAu2: relaxed, GGA-PBE.

Computed properties:
symmetry: R3m (160)

a b c (Å): 9.534 9.534 9.534
angles (deg): 16.72 16.72 16.72
Sites, in units of the cell vectors:
Mn: 0.000 0.000 0.000
Re: 0.734 0.734 0.734
Au: 0.251 0.251 0.251
Au: 0.491 0.491 0.491

=====

Version D
MnReAu2: relaxed, GGA-PBE.

Computed properties:
symmetry: Pmm2 (25)

a b c (Å): 2.827 3.713 6.118
angles (deg): 90.00 90.00 90.00
Sites, in units of the cell vectors:
Mn: 0.000 0.000 0.000
Re: 0.500 0.500 0.191
Au: 0.000 0.000 0.458
Au: 0.500 0.500 0.738

=====

It turns out version C is the most stable, with the second structure 36 meV/atom higher.

=====

Version A
MnReAu2: relaxed, GGA-PBE.

Computed properties:
symmetry: Imm2 (44)

a b c (Å): 5.502 5.502 5.502
angles (deg): 149.72 128.74 60.71
Sites, in units of the cell vectors:
Mn: 0.000 0.000 0.000
Re: 0.211 0.711 0.500
Au: 0.480 0.480 0.000
Au: 0.754 0.254 0.500

=====

Version B
MnReAu2: relaxed, GGA-PBE.

Computed properties:
symmetry: Fm-3m (225)

a b c (Å): 4.443 4.443 4.443
angles (deg): 60.00 60.00 60.00
Sites, in units of the cell vectors:
Mn: 0.000 0.000 0.000
Re: 0.500 0.500 0.500
Au: 0.250 0.250 0.250
Au: 0.750 0.750 0.750

=====

It turns out version A is the most stable, with the second structure 416 meV/atom higher.

=====

Version A
Mn2ReAu: relaxed, GGA-PBE.

Computed properties:
symmetry: Pm (6)

a b c (Å): 2.705 3.871 5.513
angles (deg): 90.00 92.02 90.00
Sites, in units of the cell vectors:
Mn: 0.000 0.000 0.000
Mn: 0.479 0.500 0.760
Re: 0.047 0.000 0.549
Au: 0.516 0.500 0.256

=====

Version B
Mn2ReAu: relaxed, GGA-PBE.

Computed properties:
symmetry: Cm (8)

a b c (Å): 4.766 4.766 4.644
angles (deg): 99.45 99.45 34.28
Sites, in units of the cell vectors:
Mn: 0.000 0.000 0.000
Mn: 0.245 0.245 0.719
Re: 0.502 0.502 0.528
Au: 0.750 0.750 0.224

=====

It turns out version A is the most stable, with the second structure 61 meV/atom higher.

=====

Version A
Mn2ReAu: relaxed, GGA-PBE.

Computed properties:
symmetry: I4/mmm (139)

a b c (Å): 4.588 4.588 4.588
angles (deg): 129.21 129.21 74.67
Sites, in units of the cell vectors:
Mn: 0.250 0.750 0.500
Mn: 0.750 0.250 0.500
Re: 0.000 0.000 0.000
Au: 0.500 0.500 0.000

=====

Version B
Mn2ReAu: relaxed, GGA-PBE.

Computed properties:
symmetry: Cmmm (65)

a b c (Å): 4.584 4.584 2.846
angles (deg): 90.00 90.00 103.82
Sites, in units of the cell vectors:
Mn: 0.000 0.500 0.000
Mn: 0.500 0.000 0.000
Re: 0.000 0.000 0.500
Au: 0.500 0.500 0.500

=====

It turns out version A is the most stable, with the second structure 33 meV/atom higher.